w.
11
Lattice="-0.8123 5.1754 1.1430 0.4488 -1.5050 7.1332 9.0875 -0.4991 -3.8593" Properties=species:S:1:pos:R:3 comment="Pr8AlHg2 PBE relaxed" dos_ef_per_ev_cell=11.69 pbc="T T T"
Hg 5.3474 3.5200 0.4388
Al -0.4061 2.5877 0.5715
Pr 2.9081 1.8054 6.4691
Pr 5.1758 2.8252 3.4630
Pr 0.6408 -1.0904 5.3927
Pr 7.3656 0.9048 1.1376
Pr 3.5482 0.3462 0.9539
Pr 8.0832 4.2619 -0.9758
Hg 3.3766 -0.3486 3.9781
Pr 1.3584 2.2666 3.2794
Pr 5.8159 1.3661 -2.0522

x.
11
Lattice="4.9765 0.0000 -1.5146 -1.3036 7.5417 -4.2833 0.0677 0.1117 9.1555" Properties=species:S:1:pos:R:3 comment="Pr8AlHg2 PBE relaxed" dos_ef_per_ev_cell=12.49 pbc="T T T"
Pr 4.1508 5.2800 4.7055
Hg 0.0894 5.2821 0.2937
Pr 1.0024 4.3669 3.2938
Pr -0.4102 2.3733 -1.3479
Pr 0.5119 1.0436 1.6819
Pr 2.1444 6.7216 -1.8872
Al 2.4883 0.0000 -0.7573
Pr 3.2288 6.6097 1.6758
Pr 2.7382 3.2865 0.0639
Pr 1.5962 0.9318 5.2448
Hg 3.6512 2.3712 3.0640

In terms of stability, w leads; the second structure lies 2.8 kJ/mol of atoms higher.

w.
18
Lattice="-5.5520 1.1489 -1.8538 1.8568 -4.0267 -8.0563 -3.8383 -8.7000 3.4638" Properties=species:S:1:pos:R:3 comment="Pr6Al2Hg PBE relaxed" dos_ef_per_ev_cell=24.10 pbc="T T T"
Pr -3.4603 -3.9411 -3.8976
Pr -6.4244 -7.9973 0.8170
Pr 0.1218 -1.8708 -2.5233
Pr -1.4022 -4.9312 -1.4074
Pr -4.0732 -7.6367 -2.5488
Pr -2.6551 -6.5929 -6.0516
Pr -4.0648 -4.5886 -8.9617
Hg -1.9192 -4.3500 1.7319
Al -7.4020 -6.8338 -2.0200
Pr -3.4687 -6.9892 2.5153
Pr -7.6553 -9.7070 -3.9231
Pr -6.1314 -6.6466 -5.0390
Pr -1.1091 -3.5805 -7.2633
Hg -1.8476 -1.4389 -4.9551
Al -4.4356 -9.3677 -5.3183
Pr -4.8784 -4.9849 -0.3948
Al -0.1316 -4.7440 -4.4264
Al -3.0979 -2.2101 -1.1281

x.
18
Lattice="-6.7461 -5.7877 1.5209 3.0129 -0.7965 -8.4622 7.0637 -1.6453 5.3588" Properties=species:S:1:pos:R:3 comment="Pr6Al2Hg PBE relaxed" dos_ef_per_ev_cell=21.43 pbc="T T T"
Pr -2.4087 -4.6978 2.4982
Pr -0.9553 -3.1237 -0.6442
Pr -2.6635 -6.1364 -3.8202
Pr -4.2942 -4.9065 -0.6335
Al -0.6393 -3.5895 -3.8486
Pr 2.2029 -2.6747 -2.9915
Al 0.2019 -4.7251 4.3734
Pr 7.6248 -3.3229 -0.9489
Pr 5.7392 -3.5316 -4.0806
Pr 2.5792 -2.1002 0.6050
Hg 5.0383 -1.2209 -1.5517
Pr 5.9940 -2.0930 2.2378
Al 0.1157 -2.7079 2.5064
Pr 4.2859 -5.1057 -0.9382
Al 3.9699 -4.6400 2.2662
Hg 0.0000 0.0000 0.0000
Pr 0.7513 -6.1292 -2.1874
Pr 1.1277 -5.5547 1.4091

In terms of stability, x leads; the second structure lies 7.3 kJ/mol of atoms higher.

w.
10
Lattice="-1.5980 0.8692 -5.1395 3.7245 -3.6175 -1.7699 -7.4633 -6.8388 -1.7278" Properties=species:S:1:pos:R:3 comment="Pr3AlHg PBE relaxed" dos_ef_per_ev_cell=11.00 pbc="T T T"
Pr -3.7633 -3.8740 -4.2516
Pr 1.5002 -3.2773 -2.8956
Hg -0.5669 -4.2266 -5.3051
Pr -5.0693 -7.8338 -7.4070
Pr -6.2751 -6.6154 -3.9342
Pr -1.0116 -6.0187 -2.5782
Pr -1.3037 -1.1896 -4.5624
Hg -5.8061 -4.7968 -6.6642
Al -3.1404 -7.0353 -4.9800
Al -1.6346 -2.8574 -1.8499

x.
10
Lattice="-1.0935 -2.7511 4.0955 8.2089 0.1632 2.3014 -5.3020 6.1122 2.6903" Properties=species:S:1:pos:R:3 comment="Pr3AlHg PBE relaxed" dos_ef_per_ev_cell=8.63 pbc="T T T"
Pr 1.8654 0.5516 2.4275
Pr -0.0520 2.9727 6.6597
Hg 2.8830 0.0838 5.5027
Hg -1.0696 3.4405 3.5845
Pr -3.5213 2.9037 5.6870
Pr 5.3347 0.6206 3.4001
Pr 3.0939 3.2038 4.5371
Pr -1.2805 0.3205 4.5501
Al -0.5467 -1.3756 2.0477
Al 0.0000 0.0000 0.0000

In terms of stability, w leads; the second structure lies 13.7 kJ/mol of atoms higher.

w.
4
Lattice="-4.5587 -0.8013 -0.7907 0.3331 -3.9630 2.0954 -1.0249 1.9782 3.9043" Properties=species:S:1:pos:R:3 comment="PuAlHg2 PBE relaxed" dos_ef_per_ev_cell=13.64 pbc="T T T"
Hg 0.1666 -1.9815 1.0477
Hg -0.5125 0.9891 1.9521
Al -2.2794 -0.4007 -0.3954
Pu -2.6253 -1.3930 2.6045

x.
4
Lattice="5.0561 0.0000 0.0000 2.5281 4.3787 0.0000 2.5281 1.4596 4.1327" Properties=species:S:1:pos:R:3 comment="PuAlHg2 PBE relaxed" dos_ef_per_ev_cell=11.27 pbc="T T T"
Hg 2.5281 1.4596 4.1304
Hg 2.5281 1.4596 1.0312
Al 7.5842 4.3787 3.1030
Pu 5.0561 2.9192 2.0671

y.
4
Lattice="-0.8137 -3.1787 3.8669 1.9404 -4.6840 -0.1165 3.8117 -1.2436 3.1054" Properties=species:S:1:pos:R:3 comment="PuAlHg2 PBE relaxed" dos_ef_per_ev_cell=13.28 pbc="T T T"
Hg 1.2346 -2.2766 1.7140
Pu 2.4692 -4.5531 3.4279
Hg 3.7038 -6.8297 5.1419
Al 0.0000 0.0000 0.0000

In terms of stability, y leads; the second structure lies 6.3 kJ/mol of atoms higher.